A geometry-optimized MnGe2WO8 structure. Source: Alexandria via LeMat-Bulk, functional GGA+U.

Computed properties:
Electronic total energy: -6.91 eV/atom

a b c (Å): 5.6438 5.6438 5.6438
angles (deg): 107.72 107.72 113.04
Sites, in units of the cell vectors:
1 Mn 0.0000 0.0000 0.0000
2 Ge 0.7500 0.2500 0.5000
3 Ge 0.5000 0.5000 0.0000
4 W 0.2500 0.7500 0.5000
5 O 0.3600 0.0403 0.3197
6 O 0.3175 0.5203 0.2028
7 O 0.3175 0.1147 0.7972
8 O 0.7206 0.0403 0.6803
9 O 0.8853 0.6825 0.2028
10 O 0.9597 0.2794 0.3197
11 O 0.9597 0.6400 0.6803
12 O 0.4797 0.6825 0.7972